Arrangement A

{"formula": "YHfRh", "functional": "PBE", "state": "optimized geometry", "dos_at_fermi_per_ev_atom": 0.9287, "spacegroup": "No. 59", "lattice": [[3.590, 0.000, 0.000], [0.000, 7.698, 0.000], [0.000, 0.000, 4.832]], "species": ["Hf", "Hf", "Rh", "Y", "Rh", "Y"], "frac_coords": [[0.000, 0.529, 0.000], [0.500, 0.471, 0.500], [0.000, 0.228, 0.500], [0.500, 0.146, 0.000], [0.500, 0.772, 0.000], [0.000, 0.854, 0.500]]}

=====

Arrangement B

{"formula": "YHfRh", "functional": "PBE", "state": "optimized geometry", "dos_at_fermi_per_ev_atom": 0.7242, "spacegroup": "No. 74", "lattice": [[6.026, 0.000, 0.000], [0.000, 5.890, 0.000], [0.000, 0.000, 7.242]], "species": ["Hf", "Rh", "Hf", "Rh", "Rh", "Hf", "Rh", "Y", "Y", "Y", "Hf", "Y"], "frac_coords": [[0.750, 0.750, 0.750], [0.500, 0.500, 0.000], [0.250, 0.750, 0.750], [0.500, 0.000, 0.000], [0.000, 0.500, 0.500], [0.250, 0.250, 0.250], [0.000, 0.000, 0.500], [0.000, 0.250, 0.854], [0.500, 0.750, 0.354], [0.000, 0.750, 0.146], [0.750, 0.250, 0.250], [0.500, 0.250, 0.646]]}

=====

Arrangement C

{"formula": "YHfRh", "functional": "PBE", "state": "optimized geometry", "dos_at_fermi_per_ev_atom": 0.9104, "spacegroup": "No. 12", "lattice": [[3.792, 0.000, 0.001], [1.894, 5.693, 0.003], [1.899, -1.328, 6.236]], "species": ["Y", "Y", "Hf", "Hf", "Rh", "Rh"], "frac_coords": [[0.889, 0.087, 0.006], [0.433, 0.710, 0.297], [0.757, 0.634, 0.723], [0.565, 0.163, 0.579], [0.111, 0.301, 0.350], [0.211, 0.496, 0.953]]}

=====

Which structure loses on stability? arrangement A does.

=====

Arrangement A

{"formula": "YHfRh", "functional": "PBE", "state": "optimized geometry", "dos_at_fermi_per_ev_atom": 0.9872, "spacegroup": "No. 139", "lattice": [[4.440, 0.000, 0.000], [0.000, 4.440, 0.000], [0.000, 0.000, 13.908]], "species": ["Hf", "Y", "Rh", "Hf", "Y", "Hf", "Rh", "Y", "Y", "Rh", "Rh", "Hf"], "frac_coords": [[0.000, 0.500, 0.000], [0.500, 0.500, 0.817], [0.000, 0.000, 0.115], [0.500, 0.000, 0.500], [0.500, 0.500, 0.183], [0.000, 0.500, 0.500], [0.500, 0.500, 0.615], [0.000, 0.000, 0.683], [0.000, 0.000, 0.317], [0.500, 0.500, 0.385], [0.000, 0.000, 0.885], [0.500, 0.000, 0.000]]}

=====

Arrangement B

{"formula": "YHfRh", "functional": "PBE", "state": "optimized geometry", "dos_at_fermi_per_ev_atom": 1.1322, "spacegroup": "No. 107", "lattice": [[-0.981, 2.135, -2.441], [-1.606, -2.536, -1.572], [-3.461, 1.385, 4.953]], "species": ["Y", "Rh", "Hf"], "frac_coords": [[0.013, 0.013, 0.026], [0.686, 0.686, 0.373], [0.301, 0.301, 0.601]]}

=====

Which structure loses on stability? arrangement B does.

=====

Arrangement A

{"formula": "HfZn2Rh2", "functional": "PBE", "state": "optimized geometry", "dos_at_fermi_per_ev_atom": 0.3649, "spacegroup": "No. 127", "lattice": [[-4.460, 0.248, 5.544], [3.650, -5.227, 3.170], [1.820, 2.101, 1.370]], "species": ["Zn", "Rh", "Rh", "Zn", "Zn", "Hf", "Rh", "Zn", "Hf", "Rh"], "frac_coords": [[0.648, 0.852, 0.500], [0.149, 0.351, 0.000], [0.649, 0.149, 0.000], [0.352, 0.148, 0.500], [0.852, 0.352, 0.500], [0.500, 0.500, 0.000], [0.351, 0.851, 0.000], [0.148, 0.648, 0.500], [0.000, 0.000, 0.000], [0.851, 0.649, 0.000]]}

=====

Arrangement B

{"formula": "HfZn2Rh2", "functional": "PBE", "state": "optimized geometry", "dos_at_fermi_per_ev_atom": 0.3972, "spacegroup": "No. 12", "lattice": [[4.118, 0.000, 1.244], [1.445, 4.333, 2.655], [-0.708, 2.547, 9.782]], "species": ["Rh", "Zn", "Hf", "Rh", "Rh", "Zn", "Zn", "Zn", "Hf", "Rh"], "frac_coords": [[0.850, 0.355, 0.445], [0.443, 0.973, 0.642], [0.250, 0.750, 0.250], [0.650, 0.145, 0.055], [0.350, 0.855, 0.945], [0.942, 0.473, 0.142], [0.557, 0.027, 0.358], [0.058, 0.527, 0.858], [0.750, 0.250, 0.750], [0.150, 0.645, 0.555]]}

=====

Arrangement C

{"formula": "HfZn2Rh2", "functional": "PBE", "state": "optimized geometry", "dos_at_fermi_per_ev_atom": 0.7133, "spacegroup": "No. 127", "lattice": [[-4.206, 2.692, -5.172], [-5.825, -1.671, 3.868], [0.102, 2.669, 1.307]], "species": ["Rh", "Rh", "Hf", "Zn", "Zn", "Rh", "Zn", "Rh", "Zn", "Hf"], "frac_coords": [[0.680, 0.820, 0.500], [0.820, 0.320, 0.500], [0.000, 0.000, 0.000], [0.619, 0.119, 0.000], [0.381, 0.881, 0.000], [0.180, 0.680, 0.500], [0.881, 0.619, 0.000], [0.320, 0.180, 0.500], [0.119, 0.381, 0.000], [0.500, 0.500, 0.000]]}

=====

Arrangement D

{"formula": "HfZn2Rh2", "functional": "PBE", "state": "optimized geometry", "dos_at_fermi_per_ev_atom": 0.2849, "spacegroup": "No. 139", "lattice": [[3.433, 0.000, 0.000], [0.000, 3.433, 0.000], [1.717, 1.717, 6.870]], "species": ["Rh", "Hf", "Zn", "Zn", "Rh"], "frac_coords": [[0.601, 0.601, 0.797], [0.000, 0.000, 0.000], [0.750, 0.250, 0.500], [0.250, 0.750, 0.500], [0.399, 0.399, 0.203]]}

=====

Which structure loses on stability? arrangement D does.

=====

Arrangement A

{"formula": "HfZnRh3", "functional": "PBE", "state": "optimized geometry", "dos_at_fermi_per_ev_atom": 0.6601, "spacegroup": "No. 194", "lattice": [[4.654, 0.000, 0.000], [0.000, 6.360, 0.000], [0.000, -3.178, 5.509]], "species": ["Rh", "Zn", "Rh", "Hf", "Hf", "Zn", "Rh", "Rh", "Rh", "Rh"], "frac_coords": [[0.250, 0.390, 0.195], [0.000, 0.000, 0.000], [0.250, 0.805, 0.195], [0.750, 0.667, 0.333], [0.250, 0.333, 0.667], [0.500, 0.000, 0.000], [0.750, 0.195, 0.805], [0.750, 0.610, 0.805], [0.250, 0.805, 0.610], [0.750, 0.195, 0.390]]}

=====

Arrangement B

{"formula": "HfZnRh3", "functional": "PBE", "state": "optimized geometry", "dos_at_fermi_per_ev_atom": 1.2990, "spacegroup": "No. 221", "lattice": [[-0.002, -2.151, 4.237], [-3.655, -2.707, -1.376], [3.036, -3.260, -1.653]], "species": ["Rh", "Zn", "Rh", "Rh", "Hf"], "frac_coords": [[0.000, 0.000, 0.500], [0.500, 0.500, 0.500], [0.000, 0.500, 0.000], [0.500, 0.000, 0.000], [0.000, 0.000, 0.000]]}

=====

Arrangement C

{"formula": "HfZnRh3", "functional": "PBE", "state": "optimized geometry", "dos_at_fermi_per_ev_atom": 1.4597, "spacegroup": "No. 221", "lattice": [[4.469, 0.000, 0.000], [0.000, 4.469, 0.000], [0.000, 0.000, 4.469]], "species": ["Rh", "Zn", "Rh", "Rh", "Hf"], "frac_coords": [[0.500, 0.000, 0.000], [0.000, 0.000, 0.000], [0.000, 0.000, 0.500], [0.000, 0.500, 0.000], [0.500, 0.500, 0.500]]}

=====

Which structure loses on stability? arrangement B does.

=====

Arrangement A

{"formula": "Hf3Zn2Rh", "functional": "PBE", "state": "optimized geometry", "dos_at_fermi_per_ev_atom": 0.3639, "spacegroup": "No. 123", "lattice": [[3.331, 0.000, 0.000], [0.000, 3.331, 0.000], [0.000, 0.000, 9.635]], "species": ["Zn", "Zn", "Rh", "Hf", "Hf", "Hf"], "frac_coords": [[0.500, 0.500, 0.832], [0.500, 0.500, 0.168], [0.500, 0.500, 0.500], [0.000, 0.000, 0.000], [0.000, 0.000, 0.662], [0.000, 0.000, 0.338]]}

=====

Arrangement B

{"formula": "Hf3Zn2Rh", "functional": "PBE", "state": "optimized geometry", "dos_at_fermi_per_ev_atom": 0.6423, "spacegroup": "No. 164", "lattice": [[-0.719, -4.583, 0.345], [2.554, 1.697, -3.499], [9.452, -0.999, 6.415]], "species": ["Hf", "Zn", "Hf", "Hf", "Rh", "Zn", "Hf", "Rh", "Hf", "Zn", "Zn", "Hf"], "frac_coords": [[0.000, 0.000, 0.748], [0.333, 0.667, 0.166], [0.333, 0.667, 0.916], [0.000, 0.000, 0.252], [0.667, 0.333, 0.329], [0.000, 0.000, 0.500], [0.667, 0.333, 0.583], [0.333, 0.667, 0.671], [0.333, 0.667, 0.417], [0.667, 0.333, 0.834], [0.000, 0.000, 0.000], [0.667, 0.333, 0.084]]}

=====

Which structure loses on stability? arrangement B does.

=====

Arrangement A

{"formula": "Hf2Zr2Rh", "functional": "PBE", "state": "optimized geometry", "dos_at_fermi_per_ev_atom": 1.3033, "spacegroup": "No. 127", "lattice": [[-0.153, 6.447, -2.117], [0.977, -2.075, -6.389], [-4.744, -0.317, -0.623]], "species": ["Rh", "Zr", "Zr", "Rh", "Hf", "Zr", "Hf", "Zr", "Hf", "Hf"], "frac_coords": [[0.500, 0.500, 0.000], [0.348, 0.848, 0.000], [0.652, 0.152, 0.000], [0.000, 0.000, 0.000], [0.155, 0.655, 0.500], [0.152, 0.348, 0.000], [0.655, 0.845, 0.500], [0.848, 0.652, 0.000], [0.345, 0.155, 0.500], [0.845, 0.345, 0.500]]}

=====

Arrangement B

{"formula": "Hf2Zr2Rh", "functional": "PBE", "state": "optimized geometry", "dos_at_fermi_per_ev_atom": 1.0635, "spacegroup": "No. 127", "lattice": [[-5.755, -1.080, 3.365], [-3.202, -1.127, -5.839], [1.070, -4.701, 0.321]], "species": ["Rh", "Zr", "Zr", "Hf", "Zr", "Zr", "Rh", "Hf", "Hf", "Hf"], "frac_coords": [[0.500, 0.500, 0.000], [0.345, 0.155, 0.500], [0.655, 0.845, 0.500], [0.154, 0.346, 0.000], [0.845, 0.345, 0.500], [0.155, 0.655, 0.500], [0.000, 0.000, 0.000], [0.346, 0.846, 0.000], [0.846, 0.654, 0.000], [0.654, 0.154, 0.000]]}

=====

Arrangement C

{"formula": "Hf2Zr2Rh", "functional": "PBE", "state": "optimized geometry", "dos_at_fermi_per_ev_atom": 0.8145, "spacegroup": "No. 141", "lattice": [[-3.378, 1.568, -2.632], [-0.346, -4.088, -1.991], [-5.251, -1.719, 9.665]], "species": ["Zr", "Rh", "Hf", "Rh", "Hf", "Zr", "Zr", "Hf", "Hf", "Zr"], "frac_coords": [[0.327, 0.327, 0.653], [0.500, 0.500, 0.000], [0.924, 0.424, 0.848], [0.250, 0.750, 0.500], [0.174, 0.174, 0.348], [0.077, 0.577, 0.153], [0.673, 0.673, 0.347], [0.576, 0.076, 0.152], [0.826, 0.826, 0.652], [0.423, 0.923, 0.847]]}

=====

Which structure loses on stability? arrangement A does.

=====

Arrangement A

{"formula": "Hf3ZrRh2", "functional": "PBE", "state": "optimized geometry", "dos_at_fermi_per_ev_atom": 1.0268, "spacegroup": "No. 12", "lattice": [[4.493, 0.000, 0.000], [-2.246, 7.300, -0.579], [0.000, -3.667, 7.483]], "species": ["Hf", "Hf", "Hf", "Rh", "Hf", "Rh", "Zr", "Rh", "Hf", "Hf", "Zr", "Rh"], "frac_coords": [[0.707, 0.414, 0.368], [0.950, 0.900, 0.624], [0.626, 0.252, 0.682], [0.244, 0.488, 0.887], [0.293, 0.586, 0.632], [0.756, 0.512, 0.113], [0.121, 0.241, 0.051], [0.498, 0.996, 0.164], [0.050, 0.100, 0.376], [0.374, 0.748, 0.318], [0.879, 0.759, 0.949], [0.502, 0.004, 0.836]]}

=====

Arrangement B

{"formula": "Hf3ZrRh2", "functional": "PBE", "state": "optimized geometry", "dos_at_fermi_per_ev_atom": 0.7791, "spacegroup": "No. 123", "lattice": [[-1.539, 2.911, -0.202], [-2.539, -1.224, 1.714], [4.593, 3.052, 8.984]], "species": ["Zr", "Rh", "Rh", "Hf", "Hf", "Hf"], "frac_coords": [[0.500, 0.500, 0.500], [0.500, 0.500, 0.148], [0.500, 0.500, 0.852], [0.000, 0.000, 0.000], [0.000, 0.000, 0.304], [0.000, 0.000, 0.696]]}

=====

Which structure loses on stability? arrangement A does.

=====

Arrangement A

{"formula": "HfZr2Rh2", "functional": "PBE", "state": "optimized geometry", "dos_at_fermi_per_ev_atom": 1.1908, "spacegroup": "No. 127", "lattice": [[7.970, 0.000, 0.000], [0.000, 7.970, 0.000], [0.000, 0.000, 3.007]], "species": ["Zr", "Rh", "Rh", "Rh", "Rh", "Hf", "Hf", "Zr", "Zr", "Zr"], "frac_coords": [[0.146, 0.354, 0.000], [0.654, 0.846, 0.500], [0.154, 0.654, 0.500], [0.846, 0.346, 0.500], [0.346, 0.154, 0.500], [0.500, 0.500, 0.000], [0.000, 0.000, 0.000], [0.854, 0.646, 0.000], [0.354, 0.854, 0.000], [0.646, 0.146, 0.000]]}

=====

Arrangement B

{"formula": "HfZr2Rh2", "functional": "PBE", "state": "optimized geometry", "dos_at_fermi_per_ev_atom": 0.9637, "spacegroup": "No. 71", "lattice": [[4.234, 0.000, 0.000], [0.000, 5.696, 0.000], [-2.117, -2.848, 4.067]], "species": ["Rh", "Rh", "Zr", "Zr", "Hf"], "frac_coords": [[0.500, 0.267, 0.000], [0.500, 0.733, 0.000], [0.201, 0.701, 0.402], [0.799, 0.299, 0.598], [0.000, 0.000, 0.000]]}

=====

Arrangement C

{"formula": "HfZr2Rh2", "functional": "PBE", "state": "optimized geometry", "dos_at_fermi_per_ev_atom": 1.2485, "spacegroup": "No. 127", "lattice": [[-0.277, 2.158, 7.101], [-7.281, -1.454, 0.158], [0.676, -3.274, 1.021]], "species": ["Rh", "Rh", "Rh", "Zr", "Rh", "Hf", "Zr", "Zr", "Hf", "Zr"], "frac_coords": [[0.133, 0.367, 0.000], [0.367, 0.867, 0.000], [0.867, 0.633, 0.000], [0.670, 0.830, 0.500], [0.633, 0.133, 0.000], [0.000, 0.000, 0.000], [0.830, 0.330, 0.500], [0.330, 0.170, 0.500], [0.500, 0.500, 0.000], [0.170, 0.670, 0.500]]}

=====

Arrangement D

{"formula": "HfZr2Rh2", "functional": "PBE", "state": "optimized geometry", "dos_at_fermi_per_ev_atom": 0.9547, "spacegroup": "No. 12", "lattice": [[3.019, -0.180, -0.951], [-0.248, 4.327, -1.603], [-0.889, 0.309, 7.632]], "species": ["Rh", "Zr", "Zr", "Hf", "Rh"], "frac_coords": [[0.880, 0.189, 0.379], [0.265, 0.632, 0.265], [0.735, 0.368, 0.735], [0.500, 0.000, 0.000], [0.120, 0.811, 0.621]]}

=====

Which structure loses on stability? arrangement A does.